w.
4
Lattice="0.000 4.041 4.041 4.041 0.000 4.041 4.041 4.041 0.000" Properties=species:S:1:pos:R:3 comment="CeSm2Ho | the Alexandria database | GGA-PBE | optimized geometry" mass_density_g_cm3=7.6 total_magnetization_mub_per_cell=3.3 pbc="T T T"
Ce 0.000 0.000 0.000
Sm 2.020 2.020 2.020
Sm 6.061 6.061 6.061
Ho 4.041 4.041 4.041



x.
4
Lattice="5.047 0.000 0.000 0.000 5.047 0.000 0.000 0.000 5.052" Properties=species:S:1:pos:R:3 comment="CeSm2Ho | the Alexandria database | GGA-PBE | optimized geometry" mass_density_g_cm3=7.8 total_magnetization_mub_per_cell=0.6 pbc="T T T"
Ce 0.000 0.000 0.000
Sm 0.000 2.523 2.526
Sm 2.523 0.000 2.526
Ho 2.523 2.523 0.000



y.
4
Lattice="1.784 1.030 11.643 -1.784 1.030 11.643 0.000 -2.060 11.643" Properties=species:S:1:pos:R:3 comment="CeSm2Ho | the Alexandria database | GGA-PBE | optimized geometry" mass_density_g_cm3=7.8 total_magnetization_mub_per_cell=0.8 pbc="T T T"
Ce 0.000 0.000 0.000
Sm 0.000 0.000 20.355
Sm 0.000 0.000 26.184
Ho 0.000 0.000 5.806



Which structure is most stable, and how do the rest compare? From most to least stable: y, x, w.



w.
4
Lattice="1.723 0.995 12.427 -1.723 0.995 12.427 0.000 -1.990 12.427" Properties=species:S:1:pos:R:3 comment="CeSm2Ho | the Alexandria database | GGA-PBE | optimized geometry" mass_density_g_cm3=7.9 total_magnetization_mub_per_cell=0.8 pbc="T T T"
Ce 0.000 0.000 0.000
Sm 0.000 0.000 3.300
Sm 0.000 0.000 33.980
Ho 0.000 0.000 18.640



x.
4
Lattice="3.553 0.000 0.000 0.000 3.553 0.000 0.000 0.000 10.140" Properties=species:S:1:pos:R:3 comment="CeSm2Ho | the Alexandria database | GGA-PBE | optimized geometry" mass_density_g_cm3=7.9 total_magnetization_mub_per_cell=0.6 pbc="T T T"
Ce 0.000 0.000 0.000
Sm 1.777 1.777 2.491
Sm 1.777 1.777 7.649
Ho 0.000 0.000 5.070



Which structure is most stable, and how do the rest compare? From most to least stable: x, w.



w.
12
Lattice="6.930 0.000 0.000 0.000 9.766 0.000 0.000 0.000 5.627" Properties=species:S:1:pos:R:3 comment="CeSm2Ho3 | the Alexandria database | GGA-PBE | optimized geometry" mass_density_g_cm3=8.2 total_magnetization_mub_per_cell=1.9 pbc="T T T"
Ce 0.000 0.000 0.000
Ce 3.465 4.883 2.813
Sm 1.708 3.249 0.000
Sm 1.757 8.132 2.813
Sm 5.173 1.633 2.813
Sm 5.222 6.516 0.000
Ho 0.000 4.883 2.813
Ho 1.735 1.626 2.813
Ho 1.729 6.509 0.000
Ho 3.465 0.000 0.000
Ho 5.200 3.256 0.000
Ho 5.194 8.139 2.813



x.
12
Lattice="8.193 -2.866 0.000 8.193 2.866 0.000 -4.853 0.000 8.215" Properties=species:S:1:pos:R:3 comment="CeSm2Ho3 | the Alexandria database | GGA-PBE | optimized geometry" mass_density_g_cm3=8.1 total_magnetization_mub_per_cell=2.7 pbc="T T T"
Ce 1.626 0.000 1.285
Ce 9.906 0.000 6.930
Sm -2.733 0.000 5.912
Sm 3.375 0.000 6.661
Sm 8.157 0.000 1.554
Sm 14.265 0.000 2.303
Ho 0.762 0.000 4.626
Ho 0.166 0.000 8.205
Ho 4.280 0.000 3.468
Ho 7.252 0.000 4.746
Ho 11.366 0.000 0.009
Ho 10.770 0.000 3.588



Which structure is most stable, and how do the rest compare? From most to least stable: w, x.



w.
6
Lattice="3.112 -5.400 0.000 3.112 5.400 0.000 -2.071 0.000 5.862" Properties=species:S:1:pos:R:3 comment="CeSm4Ho | the Alexandria database | GGA-PBE | optimized geometry" mass_density_g_cm3=7.6 total_magnetization_mub_per_cell=1.1 pbc="T T T"
Ce 0.000 0.000 0.000
Sm 2.076 3.630 2.931
Sm 3.112 1.794 0.000
Sm 3.112 -1.794 0.000
Sm 2.076 -3.630 2.931
Ho 2.076 0.000 2.931



x.
12
Lattice="-3.344 5.840 5.100 3.344 -5.840 5.100 3.344 5.840 -5.100" Properties=species:S:1:pos:R:3 comment="CeSm4Ho | the Alexandria database | GGA-PBE | optimized geometry" mass_density_g_cm3=7.6 total_magnetization_mub_per_cell=3.0 pbc="T T T"
Ce 0.000 0.000 0.000
Ce 0.000 5.840 0.000
Sm 1.670 2.920 -0.811
Sm 3.344 0.040 1.694
Sm 1.675 -2.920 4.289
Sm 0.000 0.040 3.406
Sm 3.344 5.800 1.694
Sm 1.670 8.761 0.811
Sm 0.000 5.800 3.406
Sm 1.675 2.920 5.911
Ho -1.672 2.920 2.550
Ho 1.672 2.920 2.550



Which structure is most stable, and how do the rest compare? From most to least stable: w, x.



w.
11
Lattice="9.184 -2.547 0.000 9.184 2.547 0.000 -2.121 0.000 7.768" Properties=species:S:1:pos:R:3 comment="CeSm8Ho2 | the Alexandria database | GGA-PBE | optimized geometry" mass_density_g_cm3=7.6 total_magnetization_mub_per_cell=0.9 pbc="T T T"
Ce 0.000 0.000 0.000
Sm 0.716 0.000 3.526
Sm 1.391 0.000 7.068
Sm 4.948 0.000 6.346
Sm 7.778 0.000 2.087
Sm 8.470 0.000 5.681
Sm 11.300 0.000 1.422
Sm 14.857 0.000 0.700
Sm 15.532 0.000 4.242
Ho 4.221 0.000 2.828
Ho 12.027 0.000 4.940



x.
11
Lattice="9.654 -3.502 0.000 9.654 3.502 0.000 -0.303 0.000 5.640" Properties=species:S:1:pos:R:3 comment="CeSm8Ho2 | the Alexandria database | GGA-PBE | optimized geometry" mass_density_g_cm3=7.3 total_magnetization_mub_per_cell=1.1 pbc="T T T"
Ce 0.000 0.000 0.000
Sm 7.016 1.630 1.499
Sm 3.540 0.000 1.310
Sm 11.990 1.630 4.141
Sm 8.552 0.000 4.296
Sm 10.453 0.000 1.344
Sm 7.016 -1.630 1.499
Sm 15.465 0.000 4.331
Sm 11.990 -1.630 4.141
Ho 5.255 0.000 4.208
Ho 13.750 0.000 1.433



Which structure is most stable, and how do the rest compare? From most to least stable: w, x.



w.
12
Lattice="5.984 -2.953 0.000 5.984 2.953 0.000 -5.856 0.000 11.351" Properties=species:S:1:pos:R:3 comment="CeSm7Ho4 | the Alexandria database | GGA-PBE | optimized geometry" mass_density_g_cm3=7.7 total_magnetization_mub_per_cell=0.7 pbc="T T T"
Ce 0.000 0.000 0.000
Sm -1.229 0.000 3.722
Sm -2.957 0.000 10.464
Sm 1.484 0.000 5.631
Sm 5.984 0.000 0.000
Sm 4.629 0.000 5.720
Sm 9.070 0.000 0.886
Sm 7.342 0.000 7.629
Ho -0.971 0.000 7.813
Ho 3.058 0.000 2.553
Ho 3.055 0.000 8.798
Ho 7.084 0.000 3.538



x.
12
Lattice="9.429 -3.506 0.000 9.429 3.506 0.000 -0.025 0.000 5.989" Properties=species:S:1:pos:R:3 comment="CeSm7Ho4 | the Alexandria database | GGA-PBE | optimized geometry" mass_density_g_cm3=7.8 total_magnetization_mub_per_cell=1.4 pbc="T T T"
Ce 0.000 0.000 0.000
Sm -0.012 0.000 2.995
Sm 3.505 0.000 4.482
Sm 5.418 0.000 1.488
Sm 8.719 0.000 1.487
Sm 10.114 0.000 4.502
Sm 13.415 0.000 4.501
Sm 15.328 0.000 1.507
Ho 6.842 1.632 4.498
Ho 11.991 1.632 1.491
Ho 6.842 -1.632 4.498
Ho 11.991 -1.632 1.491



Which structure is most stable, and how do the rest compare? From most to least stable: x, w.



w.
20
Lattice="14.003 0.000 0.000 0.000 3.553 0.000 -6.403 0.000 13.080" Properties=species:S:1:pos:R:3 comment="CeSm3Ho6 | the Alexandria database | GGA-PBE | optimized geometry" mass_density_g_cm3=8.1 total_magnetization_mub_per_cell=1.8 pbc="T T T"
Ce -0.188 0.888 6.026
Ce 7.788 2.665 7.054
Sm -2.719 2.665 8.152
Sm 1.400 0.888 1.107
Sm 4.630 2.665 1.920
Sm 2.971 0.888 11.160
Sm 6.200 2.665 11.973
Sm 10.320 0.888 4.928
Ho -0.980 2.665 3.142
Ho -3.222 2.665 11.713
Ho 2.177 2.665 4.155
Ho 0.131 0.888 9.177
Ho -0.503 0.888 12.264
Ho 2.654 2.665 7.615
Ho 4.947 0.888 5.466
Ho 8.103 2.665 0.816
Ho 7.470 2.665 3.903
Ho 5.424 0.888 8.925
Ho 10.823 0.888 1.367
Ho 8.581 0.888 9.939



x.
10
Lattice="4.513 -4.321 0.000 4.513 4.321 0.000 -1.621 0.000 8.722" Properties=species:S:1:pos:R:3 comment="CeSm3Ho6 | the Alexandria database | GGA-PBE | optimized geometry" mass_density_g_cm3=7.7 total_magnetization_mub_per_cell=1.3 pbc="T T T"
Ce 0.000 0.000 0.000
Sm 1.285 0.000 6.715
Sm 3.703 0.000 4.361
Sm 6.120 0.000 2.008
Ho 0.469 0.000 3.228
Ho 3.192 1.565 1.266
Ho 4.213 1.565 7.456
Ho 3.192 -1.565 1.266
Ho 4.213 -1.565 7.456
Ho 6.936 0.000 5.494



Which structure is most stable, and how do the rest compare? From most to least stable: w, x.



w.
4
Lattice="1.774 1.024 11.451 -1.774 1.024 11.451 0.000 -2.048 11.451" Properties=species:S:1:pos:R:3 comment="CeSmHo2 | the Alexandria database | GGA-PBE | optimized geometry" mass_density_g_cm3=8.3 total_magnetization_mub_per_cell=0.5 pbc="T T T"
Ce 0.000 0.000 0.000
Sm 0.000 0.000 28.656
Ho 0.000 0.000 14.253
Ho 0.000 0.000 20.112



x.
4
Lattice="1.705 0.985 12.340 -1.705 0.985 12.340 0.000 -1.969 12.340" Properties=species:S:1:pos:R:3 comment="CeSmHo2 | the Alexandria database | GGA-PBE | optimized geometry" mass_density_g_cm3=8.3 total_magnetization_mub_per_cell=0.6 pbc="T T T"
Ce 0.000 0.000 0.000
Sm 0.000 0.000 18.510
Ho 0.000 0.000 3.255
Ho 0.000 0.000 33.765



Which structure is most stable, and how do the rest compare? From most to least stable: w, x.



w.
4
Lattice="3.541 0.000 0.000 0.000 3.541 0.000 0.000 0.000 9.976" Properties=species:S:1:pos:R:3 comment="CeSmHo2 | the Alexandria database | GGA-PBE | optimized geometry" mass_density_g_cm3=8.2 total_magnetization_mub_per_cell=0.7 pbc="T T T"
Ce 0.000 0.000 0.000
Sm 0.000 0.000 4.988
Ho 1.770 1.770 2.419
Ho 1.770 1.770 7.557



x.
4
Lattice="5.028 0.000 0.000 0.000 5.028 0.000 0.000 0.000 4.974" Properties=species:S:1:pos:R:3 comment="CeSmHo2 | the Alexandria database | GGA-PBE | optimized geometry" mass_density_g_cm3=8.2 total_magnetization_mub_per_cell=0.6 pbc="T T T"
Ce 0.000 0.000 0.000
Sm 2.514 2.514 0.000
Ho 0.000 2.514 2.487
Ho 2.514 0.000 2.487



y.
4
Lattice="3.552 0.000 0.000 -1.776 3.076 0.000 0.000 0.000 11.377" Properties=species:S:1:pos:R:3 comment="CeSmHo2 | the Alexandria database | GGA-PBE | optimized geometry" mass_density_g_cm3=8.3 total_magnetization_mub_per_cell=0.6 pbc="T T T"
Ce 0.000 0.000 0.000
Sm 0.000 0.000 5.688
Ho 0.000 2.051 8.590
Ho 1.776 1.025 2.786



z.
4
Lattice="0.000 4.004 4.004 4.004 0.000 4.004 4.004 4.004 0.000" Properties=species:S:1:pos:R:3 comment="CeSmHo2 | the Alexandria database | GGA-PBE | optimized geometry" mass_density_g_cm3=8.0 total_magnetization_mub_per_cell=0.9 pbc="T T T"
Ce 0.000 0.000 0.000
Sm 4.004 4.004 4.004
Ho 2.002 2.002 2.002
Ho 6.006 6.006 6.006



Which structure is most stable, and how do the rest compare? From most to least stable: y, w, x, z.



w.
4
Lattice="0.000 4.003 4.003 4.003 0.000 4.003 4.003 4.003 0.000" Properties=species:S:1:pos:R:3 comment="CeSmHoTh | the Alexandria database | GGA-PBE | optimized geometry" mass_density_g_cm3=8.9 total_magnetization_mub_per_cell=2.1 pbc="T T T"
Ce 0.000 0.000 0.000
Sm 2.002 2.002 2.002
Ho 4.003 4.003 4.003
Th 6.005 6.005 6.005



x.
4
Lattice="1.778 1.026 11.455 -1.778 1.026 11.455 0.000 -2.053 11.455" Properties=species:S:1:pos:R:3 comment="CeSmHoTh | the Alexandria database | GGA-PBE | optimized geometry" mass_density_g_cm3=9.1 total_magnetization_mub_per_cell=0.0 pbc="T T T"
Ce 0.000 0.000 0.000
Sm 0.000 0.000 5.786
Ho 0.000 0.000 14.284
Th 0.000 0.000 20.146



Which structure is most stable, and how do the rest compare? From most to least stable: x, w.



w.
5
Lattice="2.552 -7.845 0.000 2.552 7.845 0.000 0.000 0.000 4.023" Properties=species:S:1:pos:R:3 comment="Ce2HoSn2 | the Alexandria database | GGA-PBE | optimized geometry" mass_density_g_cm3=7.0 total_magnetization_mub_per_cell=3.0 pbc="T T T"
Ce 2.552 5.063 0.000
Ce 2.552 -5.063 0.000
Ho 2.552 0.000 0.000
Sn 2.552 2.352 2.011
Sn 2.552 -2.352 2.011



x.
5
Lattice="5.008 -2.277 0.000 5.008 2.277 0.000 -4.997 0.000 6.098" Properties=species:S:1:pos:R:3 comment="Ce2HoSn2 | the Alexandria database | GGA-PBE | optimized geometry" mass_density_g_cm3=8.2 total_magnetization_mub_per_cell=1.3 pbc="T T T"
Ce -1.284 0.000 2.448
Ce 6.303 0.000 3.650
Ho 5.008 0.000 0.000
Sn 1.829 0.000 1.243
Sn 3.190 0.000 4.855



Which structure is most stable, and how do the rest compare? From most to least stable: x, w.